## CoPd4Pt (PBE)

Data for a relaxed CoPd4Pt crystal.

Cell lengths 2.7554, 7.2494, 9.6285 Å; angles 70.86, 89.93, 79.10 degrees
With the nearest neighbours (Å) after each atom.
Positions (direct):
Co  0.1996  0.1021  0.3883  4 Co 2.56-2.76, 8 Pd 2.58-2.82
Co  0.8004  0.8979  0.6117  4 Co 2.56-2.76, 8 Pd 2.58-2.82
Pd  0.1457  0.2080  0.6203  3 Co 2.58-2.63, 7 Pd 2.73-2.89, 1 Pt 2.86
Pd  0.2511  0.0001  0.1296  8 Pd 2.72-2.86, 3 Pt 2.75-2.80, 1 Co 2.82
Pd  0.4127  0.6730  0.8655  6 Pd 2.70-2.92, 4 Pt 2.76-2.86, 2 Co 2.80
Pd  0.4665  0.5646  0.6221  8 Pd 2.70-2.90, 2 Co 2.72, 2 Pt 2.79
Pd  0.5335  0.4354  0.3779  8 Pd 2.70-2.90, 2 Co 2.72, 2 Pt 2.79
Pd  0.5873  0.3270  0.1345  6 Pd 2.70-2.92, 4 Pt 2.76-2.86, 2 Co 2.80
Pd  0.7489  0.9999  0.8704  8 Pd 2.72-2.86, 3 Pt 2.75-2.80, 1 Co 2.82
Pd  0.8543  0.7920  0.3797  3 Co 2.58-2.63, 7 Pd 2.73-2.89, 1 Pt 2.86
Pt  0.0813  0.3342  0.8727  10 Pd 2.75-2.86, 2 Pt 2.76
Pt  0.9187  0.6658  0.1273  10 Pd 2.75-2.86, 2 Pt 2.76

Computed properties:
Formation energy from the elements (meV/atom): 12
ΔE to the lowest computed polymorph (eV per atom): 0.0152
Magnetization (Bohr magnetons per cell): 7.18
Electronic total energy (eV/atom): -5.64
SG: P-1, No. 2